(1)
A relaxed structure of Cu3TePbO7, computed with PBE-GGA.

Geometry as CIF:
```
data_Cu3TePbO7
_cell_length_a 10.8492
_cell_length_b 6.4308
_cell_length_c 8.7988
_cell_angle_alpha 90.00
_cell_angle_beta 90.00
_cell_angle_gamma 90.00
_space_group_name_H-M_alt 'P n m a'
_space_group_IT_number 62
loop_
_space_group_symop_operation_xyz
'x,y,z'
'-x,-y,-z'
'-x+1/2,-y,z+1/2'
'x+1/2,y,-z+1/2'
'x+1/2,-y+1/2,-z+1/2'
'-x+1/2,y+1/2,z+1/2'
'-x,y+1/2,-z'
'x,-y+1/2,z'
loop_
_atom_site_label
_atom_site_fract_x
_atom_site_fract_y
_atom_site_fract_z
Cu1 0.1085 0.0096 0.1253
Cu2 0.2463 0.2500 0.4089
Te1 0.1126 0.2500 0.7964
Pb1 0.1131 0.7500 0.5437
O1 0.0115 0.0291 0.7050
O2 0.0204 0.7500 0.0470
O3 0.1959 0.2500 0.2040
O4 0.2033 0.0432 0.9282
O5 0.2347 0.2500 0.6402
```

total DFT energy (no corrections)	-5.289	eV/atom
uncorrected formation energy	-802	meV/atom
mass density	6.90	g/cm³

=====

(2)
A relaxed structure of Cr2TcRu, computed with PBE-GGA.

Geometry as CIF:
```
data_Cr2TcRu
_cell_length_a 5.3795
_cell_length_b 7.3008
_cell_length_c 2.6752
_cell_angle_alpha 90.00
_cell_angle_beta 90.00
_cell_angle_gamma 90.00
_space_group_name_H-M_alt 'C m m m'
_space_group_IT_number 65
_space_group_name_Hall '-C 2 2'
loop_
_atom_site_label
_atom_site_fract_x
_atom_site_fract_y
_atom_site_fract_z
Cr1 0.2500 0.2500 0.0000
Tc1 0.0000 0.0000 0.5000
Ru1 0.0000 0.5000 0.5000
```

calculated formation energy	0.17	eV/atom
total DFT energy (no corrections)	-9.555	eV/atom
mass density	9.58	g/cm³

=====

(3)
A relaxed structure of Pr4PBr2O, computed with PBE-GGA.

Geometry as CIF:
```
data_Pr4PBr2O
_cell_length_a 6.9135
_cell_length_b 3.9947
_cell_length_c 7.7623
_cell_angle_alpha 90.00
_cell_angle_beta 107.74
_cell_angle_gamma 90.00
_space_group_name_H-M_alt 'P 1 2/m 1'
_space_group_IT_number 10
loop_
_space_group_symop_operation_xyz
'x,y,z'
'-x,-y,-z'
'-x,y,-z'
'x,-y,z'
loop_
_atom_site_label
_atom_site_fract_x
_atom_site_fract_y
_atom_site_fract_z
Pr1 0.2083 0.0000 0.1861
Pr2 0.2374 0.5000 0.8098
P1 0.5000 0.0000 0.0000
Br1 0.0000 0.0000 0.5000
Br2 0.5000 0.5000 0.5000
O1 0.0000 0.5000 0.0000
```

total DFT energy (no corrections)	-5.764	eV/atom
uncorrected formation energy	-1660	meV/atom
mass density	6.27	g/cm³

=====

> total DFT energy (no corrections) of number 1 (Cu3TePbO7)?

-5.289 eV/atom